Record 1
First-principles (PBE) data for a relaxed structure of CoTcBiMo, as listed in the Open Quantum Materials Database.

Cell: 4.538 4.538 4.538 Å, 60.00 60.00 60.00°
Site moments in Bohr magnetons follow the coordinates.
Element x y z (fractional)
Co  0.750  0.750  0.750  1.52
Tc  0.250  0.250  0.250  0.12
Mo  0.500  0.500  0.500  1.13
Bi  0.000  0.000  0.000  0.04

- Space-group type: No. 216
- V: 16.52 A^3/atom
- E_tot: -7.543 eV/atom


Record 2
First-principles (PBE) data for a relaxed structure of CoBiMoW, as listed in the Open Quantum Materials Database.

Cell: 4.559 4.559 4.559 Å, 60.00 60.00 60.00°
Element x y z (fractional)
Co  0.750  0.750  0.750
W  0.500  0.500  0.500
Bi  0.000  0.000  0.000
Mo  0.250  0.250  0.250

- Space-group type: No. 216
- V: 16.76 A^3/atom
- E_tot: -8.026 eV/atom


Record 3
First-principles (PBE) data for a relaxed structure of ZnCoBiMo, as listed in the Open Quantum Materials Database.

Cell: 4.527 4.527 4.527 Å, 60.00 60.00 60.00°
Element x y z (fractional)
Bi  0.000  0.000  0.000
Co  0.750  0.750  0.750
Zn  0.500  0.500  0.500
Mo  0.250  0.250  0.250

- Space-group type: No. 216
- V: 16.40 A^3/atom
- E_tot: -5.221 eV/atom


Record 4
First-principles (PBE) data for a relaxed structure of ZnCoBiMo, as listed in the Open Quantum Materials Database.

Cell: 4.590 4.590 4.590 Å, 60.00 60.00 60.00°
Element x y z (fractional)
Co  0.750  0.750  0.750
Bi  0.000  0.000  0.000
Mo  0.500  0.500  0.500
Zn  0.250  0.250  0.250

- Space-group type: No. 216
- V: 17.09 A^3/atom
- E_tot: -5.137 eV/atom


Question: Which of these has the highest V?
Answer: number 4


Question: What is the formula in the fourth record?
Answer: ZnCoBiMo


Question: What is the E_tot in the third record?
Answer: -5.221 eV/atom


Question: Which value of V does entry 2 give?
Answer: 16.76 A^3/atom